[1]
! Li5SiPt2 GGA-PBE optimized geometry; values from VASP
! Electronic total energy   -3.734 eV per atom
! DOS at the Fermi energy   0.313 states/eV per atom
! Volume   137.97 Å³/f.u.
! Raw formation energy   -0.3500 eV/atom
! Magnetization   0.00 μB per cell
&SYSTEM
  ibrav = 0, nat = 16, ntyp = 3
/
ATOMIC_SPECIES
Li 6.94 Li.upf
Si 28.09 Si.upf
Pt 195.08 Pt.upf
ATOMIC_POSITIONS crystal
Li 0.000 0.000 0.147
Li 0.000 0.000 0.353
Li 0.000 0.000 0.647
Li 0.000 0.000 0.853
Li 0.333 0.667 0.054
Li 0.333 0.667 0.250
Li 0.333 0.667 0.446
Li 0.667 0.333 0.554
Li 0.667 0.333 0.750
Li 0.667 0.333 0.946
Si 0.333 0.667 0.750
Si 0.667 0.333 0.250
Pt 0.333 0.667 0.612
Pt 0.333 0.667 0.888
Pt 0.667 0.333 0.112
Pt 0.667 0.333 0.388
CELL_PARAMETERS angstrom
4.437 0.000 0.000
-2.218 3.842 0.000
0.000 0.000 16.185

***

[2]
! LiS3F GGA-PBE optimized geometry; values from VASP
! Electronic total energy   -2.823 eV per atom
! DOS at the Fermi energy   0.536 states/eV per atom
! Volume   85.50 Å³/f.u.
! E above lowest polymorph   0.0000 eV per atom
! Raw formation energy   0.4109 eV/atom
! Magnetization   0.00 μB per cell
&SYSTEM
  ibrav = 0, nat = 5, ntyp = 3
/
ATOMIC_SPECIES
Li 6.94 Li.upf
S 32.06 S.upf
F 19.00 F.upf
ATOMIC_POSITIONS crystal
Li 0.000 0.000 0.000
S 0.000 0.500 0.500
S 0.500 0.000 0.500
S 0.500 0.500 0.000
F 0.500 0.500 0.500
CELL_PARAMETERS angstrom
4.405 0.000 0.000
0.000 4.405 0.000
0.000 0.000 4.405